No. 1
# LaTcRh, optimized geometry, DFT GGA-PBE
data_LaTcRh
_cell_length_a 3.021
_cell_length_b 3.021
_cell_length_c 12.744
_cell_angle_alpha 90.00
_cell_angle_beta 90.00
_cell_angle_gamma 90.00
_space_group_name_H-M_alt 'I 4 m m'
_space_group_IT_number 107
_space_group_name_Hall 'I 4 -2'
loop_
_atom_site_label
_atom_site_type_symbol
_atom_site_fract_x
_atom_site_fract_y
_atom_site_fract_z
_atom_site_occupancy
La1 La 0.000 0.000 0.000 1
Tc1 Tc 0.000 0.000 0.690 1
Rh1 Rh 0.000 0.000 0.308 1
# Size of the total moment = 0.00 μB per cell
# Energy above the lowest structure with this stoichiometry = 0.343 kcal/mol of atoms
# Formation energy = 0.10 eV per atom

---

No. 2
# Sr2Mg9Cd6, optimized geometry, DFT GGA-PBE
data_Sr2Mg9Cd6
_cell_length_a 6.1332
_cell_length_b 6.1332
_cell_length_c 14.6017
_cell_angle_alpha 90.00
_cell_angle_beta 90.00
_cell_angle_gamma 120.00
_space_group_name_H-M_alt 'P 6/m m m'
_space_group_IT_number 191
_space_group_name_Hall '-P 6 2'
loop_
_atom_site_label
_atom_site_type_symbol
_atom_site_fract_x
_atom_site_fract_y
_atom_site_fract_z
_atom_site_occupancy
Sr1 Sr 0.0000 0.0000 0.1594 1
Mg1 Mg 0.0000 0.5000 0.0000 1
Mg2 Mg 0.0000 0.5000 0.3355 1
Cd1 Cd 0.3333 0.6667 0.1673 1
Cd2 Cd 0.3333 0.6667 0.5000 1
# Size of the total moment = 0.00 μB per cell
# Formation energy = -0.05 eV per atom

---

No. 3
# Na2TcRu, optimized geometry, DFT GGA-PBE
data_Na2TcRu
_cell_length_a 6.658
_cell_length_b 6.658
_cell_length_c 6.658
_cell_angle_alpha 90.00
_cell_angle_beta 90.00
_cell_angle_gamma 90.00
_space_group_name_H-M_alt 'F m -3 m'
_space_group_IT_number 225
_space_group_name_Hall '-F 4 2 3'
loop_
_atom_site_label
_atom_site_type_symbol
_atom_site_fract_x
_atom_site_fract_y
_atom_site_fract_z
_atom_site_occupancy
Na1 Na 0.250 0.250 0.250 1
Tc1 Tc 0.000 0.000 0.000 1
Ru1 Ru 0.000 0.000 0.500 1
# Size of the total moment = 16.90 μB per cell
# Energy above the lowest structure with this stoichiometry = 3.604 kcal/mol of atoms
# Formation energy = 1.52 eV per atom

---

No. 4
# TlNi2Br, optimized geometry, DFT GGA-PBE
data_TlNi2Br
_cell_length_a 6.673
_cell_length_b 6.673
_cell_length_c 6.673
_cell_angle_alpha 90.00
_cell_angle_beta 90.00
_cell_angle_gamma 90.00
_space_group_name_H-M_alt 'F -4 3 m'
_space_group_IT_number 216
_space_group_name_Hall 'F -4 2 3'
loop_
_atom_site_label
_atom_site_type_symbol
_atom_site_fract_x
_atom_site_fract_y
_atom_site_fract_z
_atom_site_occupancy
Tl1 Tl 0.000 0.000 0.000 1
Ni1 Ni 0.000 0.000 0.500 1
Ni2 Ni 0.250 0.250 0.250 1
Br1 Br 0.250 0.250 0.750 1
# Size of the total moment = 0.00 μB per cell
# Energy relative to the elements, uncorrected = 0.774 eV/atom
# Energy above the lowest structure with this stoichiometry = 15.589 kcal/mol of atoms

---

No. 5
# Sm2AlGa4Pd3, optimized geometry, DFT GGA-PBE
data_Sm2AlGa4Pd3
_cell_length_a 4.141
_cell_length_b 4.141
_cell_length_c 11.190
_cell_angle_alpha 90.00
_cell_angle_beta 90.00
_cell_angle_gamma 90.00
_space_group_name_H-M_alt 'P -4 m 2'
_space_group_IT_number 115
loop_
_space_group_symop_operation_xyz
'x,y,z'
'y,-x,-z'
'-x,-y,z'
'-y,x,-z'
'-x,y,z'
'-y,-x,-z'
'x,-y,z'
'y,x,-z'
loop_
_atom_site_label
_atom_site_type_symbol
_atom_site_fract_x
_atom_site_fract_y
_atom_site_fract_z
_atom_site_occupancy
Sm1 Sm 0.000 0.500 0.249 1
Al1 Al 0.000 0.000 0.500 1
Ga1 Ga 0.000 0.000 0.000 1
Ga2 Ga 0.000 0.500 0.641 1
Ga3 Ga 0.500 0.500 0.000 1
Pd1 Pd 0.000 0.500 0.863 1
Pd2 Pd 0.500 0.500 0.500 1
# Size of the total moment = 0.00 μB per cell
# Formation energy = -0.75 eV per atom

---

No. 6
# Ac7Sn4Ge, optimized geometry, DFT GGA-PBE
data_Ac7Sn4Ge
_cell_length_a 16.739
_cell_length_b 5.953
_cell_length_c 11.981
_cell_angle_alpha 90.00
_cell_angle_beta 126.77
_cell_angle_gamma 90.00
_space_group_name_H-M_alt 'C 1 2/m 1'
_space_group_IT_number 12
loop_
_space_group_symop_operation_xyz
'x,y,z'
'-x,-y,-z'
'-x,y,-z'
'x,-y,z'
'x+1/2,y+1/2,z'
'-x+1/2,-y+1/2,-z'
'-x+1/2,y+1/2,-z'
'x+1/2,-y+1/2,z'
loop_
_atom_site_label
_atom_site_type_symbol
_atom_site_fract_x
_atom_site_fract_y
_atom_site_fract_z
_atom_site_occupancy
Ac1 Ac 0.000 0.000 0.000 1
Ac2 Ac 0.073 0.500 0.300 1
Ac3 Ac 0.149 0.000 0.563 1
Ac4 Ac 0.210 0.500 0.866 1
Sn1 Sn 0.079 0.000 0.778 1
Sn2 Sn 0.221 0.000 0.343 1
Ge1 Ge 0.000 0.500 0.000 1
# Size of the total moment = 0.00 μB per cell
# Formation energy = -0.43 eV per atom

---

No. 7
# AgSe, optimized geometry, DFT GGA-PBE
data_AgSe
_cell_length_a 2.9536
_cell_length_b 2.9536
_cell_length_c 33.5125
_cell_angle_alpha 90.00
_cell_angle_beta 90.00
_cell_angle_gamma 120.00
_space_group_name_H-M_alt 'R -3 m'
_space_group_IT_number 166
_space_group_name_Hall '-R 3 2"'
loop_
_atom_site_label
_atom_site_type_symbol
_atom_site_fract_x
_atom_site_fract_y
_atom_site_fract_z
_atom_site_occupancy
Ag1 Ag 0.0000 0.0000 0.1314 1
Se1 Se 0.0000 0.0000 0.3920 1
# Size of the total moment = 0.00 μB per cell
# Energy relative to the elements, uncorrected = 0.210 eV/atom

---

No. 8
# Sm6ErTl2, optimized geometry, DFT GGA-PBE
data_Sm6ErTl2
_cell_length_a 16.001
_cell_length_b 11.689
_cell_length_c 5.975
_cell_angle_alpha 90.00
_cell_angle_beta 98.76
_cell_angle_gamma 90.00
_space_group_name_H-M_alt 'C 1 2/c 1'
_space_group_IT_number 15
loop_
_space_group_symop_operation_xyz
'x,y,z'
'-x,-y,-z'
'-x,y,-z+1/2'
'x,-y,z+1/2'
'x+1/2,y+1/2,z'
'-x+1/2,-y+1/2,-z'
'-x+1/2,y+1/2,-z+1/2'
'x+1/2,-y+1/2,z+1/2'
loop_
_atom_site_label
_atom_site_type_symbol
_atom_site_fract_x
_atom_site_fract_y
_atom_site_fract_z
_atom_site_occupancy
Sm1 Sm 0.058 0.113 0.031 1
Sm2 Sm 0.114 0.385 0.301 1
Sm3 Sm 0.236 0.375 0.832 1
Er1 Er 0.000 0.360 0.750 1
Tl1 Tl 0.156 0.136 0.597 1
# Size of the total moment = 0.00 μB per cell
# Energy above the lowest structure with this stoichiometry = 1.082 kcal/mol of atoms
# Formation energy = -0.10 eV per atom